(a)
DFT (GGA-PBE) results for a relaxed structure of ScTaSe.

a b c (Å): 3.2962 3.2972 12.4708
angles (deg): 90.00 90.00 119.99
Last column: nearest neighbours and their distance in Å.
Fractional positions:
Ta 0.6103 0.2206 0.0000  6 Sc 3.03-3.04, 6 Ta 3.30
Ta 0.2780 0.5560 0.5000  6 Se 2.62
Se 0.6113 0.2225 0.3556  3 Ta 2.62, 3 Sc 2.81
Se 0.6113 0.2225 0.6444  3 Ta 2.62, 3 Sc 2.81
Sc 0.2779 0.5558 0.8105  3 Se 2.81, 3 Ta 3.03-3.04
Sc 0.2779 0.5558 0.1895  3 Se 2.81, 3 Ta 3.03-3.04

---

(b)
DFT (GGA-PBE) results for a relaxed structure of ScTaSe.

a b c (Å): 4.5160 4.5160 3.3405
angles (deg): 90.00 90.00 120.00
Last column: nearest neighbours and their distance in Å.
Fractional positions:
Sc 0.0000 0.0000 0.0000  6 Se 3.10, 6 Ta 3.10, 2 Sc 3.34
Se 0.6667 0.3333 0.4999  3 Ta 2.61
Ta 0.3333 0.6667 0.5001  3 Se 2.61

---

(c)
DFT (GGA-PBE) results for a relaxed structure of ScTaSe.

a b c (Å): 6.4643 6.2856 3.1589
angles (deg): 78.82 72.54 28.65
Last column: nearest neighbours and their distance in Å.
Fractional positions:
Sc 0.9916 0.9916 0.0084  2 Se 2.76, 2 Ta 2.98
Se 0.3293 0.3293 0.6707  2 Ta 2.66, 2 Sc 2.76
Ta 0.6791 0.6791 0.3209  2 Se 2.66, 2 Sc 2.98

---

Q: Which of them is the most stable? A: (a).

---

(a)
DFT (GGA-PBE) results for a relaxed structure of ScTaSe.

a b c (Å): 4.3997 4.3997 4.3997
angles (deg): 60.00 60.00 60.00
Last column: nearest neighbours and their distance in Å.
Fractional positions:
Sc 0.5000 0.5000 0.5000  4 Se 2.69
Se 0.7500 0.7500 0.7500  4 Ta 2.69, 4 Sc 2.69
Ta 0.0000 0.0000 0.0000  4 Se 2.69

---

(b)
DFT (GGA-PBE) results for a relaxed structure of ScTaSe.

a b c (Å): 3.3823 3.3823 6.0423
angles (deg): 90.00 90.00 120.00
Last column: nearest neighbours and their distance in Å.
Fractional positions:
Sc 0.0000 0.0000 0.0119  3 Se 2.82, 3 Ta 2.98
Se 0.3333 0.6667 0.3481  3 Ta 2.63, 3 Sc 2.82
Ta 0.6667 0.3333 0.6400  3 Se 2.63

---

Q: Which of them is the most stable? A: (b).

---

(a)
DFT (GGA-PBE) results for a relaxed structure of Sc3TaSe.

a b c (Å): 4.9277 4.9277 4.9277
angles (deg): 90.00 90.00 90.00
Last column: nearest neighbours and their distance in Å.
Fractional positions:
Sc 0.0000 0.5000 0.0000  2 Se 2.46
Sc 0.0000 0.0000 0.5000  2 Se 2.46
Sc 0.5000 0.0000 0.0000  2 Se 2.46
Se 0.0000 0.0000 0.0000  6 Sc 2.46
Ta 0.5000 0.5000 0.5000  12 Sc 3.48

---

(b)
DFT (GGA-PBE) results for a relaxed structure of Sc3TaSe.

a b c (Å): 5.1246 5.1246 5.1246
angles (deg): 90.00 90.00 90.00
Last column: nearest neighbours and their distance in Å.
Fractional positions:
Sc 0.0000 0.5000 0.0000  2 Ta 2.56
Sc 0.0000 0.0000 0.5000  2 Ta 2.56
Sc 0.5000 0.0000 0.0000  2 Ta 2.56
Se 0.5000 0.5000 0.5000  12 Sc 3.62
Ta 0.0000 0.0000 0.0000  6 Sc 2.56

---

Q: Which of them is the most stable? A: (a).

---

(a)
DFT (GGA-PBE) results for a relaxed structure of ScTa3Se.

a b c (Å): 4.8016 4.8016 4.8016
angles (deg): 90.00 90.00 90.00
Last column: nearest neighbours and their distance in Å.
Fractional positions:
Sc 0.0000 0.0000 0.0000  6 Ta 2.40
Se 0.5000 0.5000 0.5000  12 Ta 3.40
Ta 0.0000 0.5000 0.0000  2 Sc 2.40
Ta 0.0000 0.0000 0.5000  2 Sc 2.40
Ta 0.5000 0.0000 0.0000  2 Sc 2.40

---

(b)
DFT (GGA-PBE) results for a relaxed structure of ScTa3Se.

a b c (Å): 4.7588 4.7588 4.7588
angles (deg): 90.00 90.00 90.00
Last column: nearest neighbours and their distance in Å.
Fractional positions:
Sc 0.5000 0.5000 0.5000  12 Ta 3.36
Se 0.0000 0.0000 0.0000  6 Ta 2.38
Ta 0.0000 0.5000 0.0000  2 Se 2.38
Ta 0.0000 0.0000 0.5000  2 Se 2.38
Ta 0.5000 0.0000 0.0000  2 Se 2.38

---

Q: Which of them is the most stable? A: (b).

---

(a)
DFT (GGA-PBE) results for a relaxed structure of TbSc2Se.

a b c (Å): 3.7506 5.9165 8.8222
angles (deg): 90.00 90.00 108.47
Last column: nearest neighbours and their distance in Å.
Fractional positions:
Tb 0.9426 0.8854 0.2500  3 Se 3.00-3.27, 4 Sc 3.33
Tb 0.0574 0.1146 0.7500  3 Se 3.00-3.27, 4 Sc 3.33
Sc 0.3590 0.7183 0.5436  3 Se 2.82-2.95
Sc 0.6410 0.2817 0.4564  3 Se 2.82-2.95
Sc 0.3590 0.7183 0.9564  3 Se 2.82-2.95
Sc 0.6410 0.2817 0.0436  3 Se 2.82-2.95
Se 0.7657 0.5316 0.7500  6 Sc 2.82-2.95, 2 Tb 3.00
Se 0.2343 0.4684 0.2500  6 Sc 2.82-2.95, 2 Tb 3.00

---

(b)
DFT (GGA-PBE) results for a relaxed structure of TbSc2Se.

a b c (Å): 3.6332 3.6332 9.0824
angles (deg): 78.46 78.46 60.00
Last column: nearest neighbours and their distance in Å.
Fractional positions:
Tb 0.5000 0.5000 0.5001  6 Sc 3.44, 6 Tb 3.63
Sc 0.0640 0.0640 0.8081  3 Se 2.70
Sc 0.2695 0.2695 0.1914  3 Se 2.69
Se 0.6665 0.6665 0.0004  6 Sc 2.69-2.70

---

(c)
DFT (GGA-PBE) results for a relaxed structure of TbSc2Se.

a b c (Å): 3.5514 3.5514 9.9296
angles (deg): 79.70 79.70 60.00
Last column: nearest neighbours and their distance in Å.
Fractional positions:
Sc 0.1097 0.1097 0.6709  3 Se 2.64
Sc 0.8903 0.8903 0.3291  3 Se 2.64
Tb 0.0000 0.0000 0.0000  2 Sc 3.20, 6 Tb 3.55
Se 0.5000 0.5000 0.5000  6 Sc 2.64

---

Q: Which of them is the most stable? A: (a).

---

(a)
DFT (GGA-PBE) results for a relaxed structure of TbSc3Se4.

a b c (Å): 3.9134 6.8275 6.8275
angles (deg): 109.19 90.00 90.00
Last column: nearest neighbours and their distance in Å.
Fractional positions:
Tb 0.5000 0.0000 0.0000  6 Se 2.85
Sc 0.0000 0.0000 0.5000  6 Se 2.78
Sc 0.5000 0.5000 0.5000  6 Se 2.72
Sc 0.0000 0.5000 0.0000  6 Se 2.78
Se 0.0000 0.2618 0.2618  4 Sc 2.72-2.78, 2 Tb 2.85
Se 0.5000 0.7442 0.2558  5 Sc 2.72-2.78, 1 Tb 2.85
Se 0.0000 0.7382 0.7382  4 Sc 2.72-2.78, 2 Tb 2.85
Se 0.5000 0.2558 0.7442  5 Sc 2.72-2.78, 1 Tb 2.85

---

(b)
DFT (GGA-PBE) results for a relaxed structure of TbSc3Se4.

a b c (Å): 3.9243 3.9243 13.0784
angles (deg): 81.37 81.37 60.00
Last column: nearest neighbours and their distance in Å.
Fractional positions:
Sc 0.7524 0.7524 0.7427  6 Se 2.74-2.76
Sc 0.5000 0.5000 0.5000  6 Se 2.75
Sc 0.2476 0.2476 0.2573  6 Se 2.74-2.76
Tb 0.0000 0.0000 0.0000  6 Se 2.88
Se 0.6206 0.6206 0.1381  3 Sc 2.74, 3 Tb 2.88
Se 0.8736 0.8736 0.3791  6 Sc 2.75-2.76
Se 0.3794 0.3794 0.8619  3 Sc 2.74, 3 Tb 2.88
Se 0.1264 0.1264 0.6209  6 Sc 2.75-2.76

---

Q: Which of them is the most stable? A: (b).

---

(a)
DFT (GGA-PBE) results for a relaxed structure of TbScSe.

a b c (Å): 3.7717 3.7717 6.2482
angles (deg): 90.00 90.00 120.00
Last column: nearest neighbours and their distance in Å.
Fractional positions:
Sc 0.6667 0.3333 0.3945  3 Se 2.71
Tb 0.0000 0.0000 0.9537  3 Se 2.88
Se 0.3333 0.6667 0.6517  3 Sc 2.71, 3 Tb 2.88

---

(b)
DFT (GGA-PBE) results for a relaxed structure of TbScSe.

a b c (Å): 3.5572 3.5572 6.1736
angles (deg): 106.74 106.74 90.00
Last column: nearest neighbours and their distance in Å.
Fractional positions:
Sc 0.3082 0.3082 0.6163  4 Se 2.86
Tb 0.0045 0.0045 0.0089  5 Se 3.25-3.58, 5 Sc 3.35-3.42, 4 Tb 3.56
Se 0.6874 0.6874 0.3747  4 Sc 2.86

---

Q: Which of them is the most stable? A: (a).

---

(a)
DFT (GGA-PBE) results for a relaxed structure of Sc2Tc2Se.

a b c (Å): 3.5188 3.5188 8.2579
angles (deg): 77.70 77.70 90.00
Last column: nearest neighbours and their distance in Å.
Fractional positions:
Sc 0.3957 0.3957 0.2087  4 Tc 2.89, 4 Se 2.98
Sc 0.6043 0.6043 0.7913  4 Tc 2.89, 4 Se 2.98
Tc 0.7500 0.2500 0.5000  4 Tc 2.49
Tc 0.2500 0.7500 0.5000  4 Tc 2.49
Se 0.0000 0.0000 0.0000  8 Sc 2.98

---

(b)
DFT (GGA-PBE) results for a relaxed structure of Sc2Tc2Se.

a b c (Å): 7.0119 7.0119 4.1524
angles (deg): 90.00 90.00 90.00
Last column: nearest neighbours and their distance in Å.
Fractional positions:
Sc 0.3361 0.8361 0.0000  2 Se 2.62, 4 Tc 2.86
Sc 0.8361 0.6639 0.0000  2 Se 2.62, 4 Tc 2.86
Sc 0.6639 0.1639 0.0000  2 Se 2.62, 4 Tc 2.86
Sc 0.1639 0.3361 0.0000  2 Se 2.62, 4 Tc 2.86
Tc 0.1129 0.6129 0.5000  1 Tc 2.24
Tc 0.6129 0.8871 0.5000  1 Tc 2.24
Tc 0.8871 0.3871 0.5000  1 Tc 2.24
Tc 0.3871 0.1129 0.5000  1 Tc 2.24
Se 0.0000 0.0000 0.0000  4 Sc 2.62
Se 0.5000 0.5000 0.0000  4 Sc 2.62

---

Q: Which of them is the most stable? A: (a).